Entry from Alexandria: crystalline KVRe3 at its relaxed geometry (PBE-GGA).

Computed properties:
V, Å³/f.u.: 88
Energy relative to the elements, eV per atom: 3.67
Energy, eV/cell: -29.2
Excess energy over the best structure of this formula in the dataset, eV/f.u.: 8.73

a b c (Å): 4.4462 4.4462 4.4462
angles (deg): 90.00 90.00 90.00
Last column: nearest neighbours and their distance in Å.
Element x y z (fractional)
Re 0.0000 0.0000 0.5000  2 K 2.22
K 0.0000 0.0000 0.0000  6 Re 2.22
Re 0.0000 0.5000 0.0000  2 K 2.22
Re 0.5000 0.0000 0.0000  2 K 2.22
V 0.5000 0.5000 0.5000  12 Re 3.14

***

Entry from Alexandria: crystalline KV2ZnRe at its relaxed geometry (PBE-GGA).

Computed properties:
V, Å³/f.u.: 83
Energy relative to the elements, eV per atom: 2.65
Energy, eV/cell: -19.8

a b c (Å): 4.1923 4.7090 4.1923
angles (deg): 90.00 90.00 90.00
Last column: nearest neighbours and their distance in Å.
Element x y z (fractional)
V 0.0000 0.0000 0.5000  2 K 2.10
V 0.5000 0.0000 0.0000  2 K 2.10
Zn 0.0000 0.5000 0.0000  2 K 2.35
Re 0.5000 0.5000 0.5000  4 Zn 2.96, 8 V 3.15
K 0.0000 0.0000 0.0000  4 V 2.10

***

Entry from Alexandria: crystalline K3ReW at its relaxed geometry (PBE-GGA).

Computed properties:
V, Å³/f.u.: 251
Energy relative to the elements, eV per atom: 2.64
Energy, eV/cell: -15.5
Excess energy over the best structure of this formula in the dataset, eV/f.u.: 0.00

a b c (Å): 6.3053 6.3053 6.3053
angles (deg): 90.00 90.00 90.00
Last column: nearest neighbours and their distance in Å.
Element x y z (fractional)
W 0.5000 0.5000 0.5000  12 K 4.46
K 0.5000 0.0000 0.0000  2 Re 3.15
Re 0.0000 0.0000 0.0000  6 K 3.15
K 0.0000 0.0000 0.5000  2 Re 3.15
K 0.0000 0.5000 0.0000  2 Re 3.15

***

Entry from Alexandria: crystalline KReW2 at its relaxed geometry (PBE-GGA).

Computed properties:
V, Å³/f.u.: 76
Energy relative to the elements, eV per atom: 0.86
Energy, eV/cell: -36.0
Excess energy over the best structure of this formula in the dataset, eV/f.u.: 0.35

a b c (Å): 2.7746 2.7746 10.6029
angles (deg): 90.00 90.00 111.51
Last column: nearest neighbours and their distance in Å.
Element x y z (fractional)
Re 0.5000 0.5000 0.7500  4 W 2.67, 4 Re 2.77
W 0.0000 0.0000 0.9548  2 Re 2.67, 4 W 2.77
K 0.5000 0.5000 0.2500  4 K 2.77
W 0.0000 0.0000 0.5452  2 Re 2.67, 4 W 2.77

***

Entry from Alexandria: crystalline KRe2W at its relaxed geometry (PBE-GGA).

Computed properties:
V, Å³/f.u.: 73
Energy relative to the elements, eV per atom: 0.86
Energy, eV/cell: -35.5
Excess energy over the best structure of this formula in the dataset, eV/f.u.: 0.42

a b c (Å): 2.7456 2.7456 10.5580
angles (deg): 90.00 90.00 112.56
Last column: nearest neighbours and their distance in Å.
Element x y z (fractional)
Re 0.0000 0.0000 0.0399  6 Re 2.66-2.75
K 0.5000 0.5000 0.7567  6 K 2.75-3.05
W 0.0000 0.0000 0.4565  2 Re 2.69, 4 W 2.75
Re 0.5000 0.5000 0.2469  6 Re 2.66-2.75, 2 W 2.69

***

Entry from Alexandria: crystalline KRe2W at its relaxed geometry (PBE-GGA).

Computed properties:
V, Å³/f.u.: 72
Energy relative to the elements, eV per atom: 1.70
Energy, eV/cell: -32.2
Excess energy over the best structure of this formula in the dataset, eV/f.u.: 3.78

a b c (Å): 2.6296 5.2505 5.2505
angles (deg): 90.00 90.00 90.00
Last column: nearest neighbours and their distance in Å.
Element x y z (fractional)
K 0.5000 0.0000 0.5000  2 K 2.63, 8 Re 2.94
Re 0.0000 0.5000 0.5000  2 Re 2.63, 4 W 2.94, 4 K 2.94
Re 0.0000 0.0000 0.0000  2 Re 2.63, 4 W 2.94, 4 K 2.94
W 0.5000 0.5000 0.0000  2 W 2.63, 8 Re 2.94

***

Entry from Alexandria: crystalline KRe2W at its relaxed geometry (PBE-GGA).

Computed properties:
V, Å³/f.u.: 69
Energy relative to the elements, eV per atom: 1.62
Energy, eV/cell: -32.5
Excess energy over the best structure of this formula in the dataset, eV/f.u.: 3.45

a b c (Å): 4.5929 4.5929 4.5929
angles (deg): 60.00 60.00 60.00
Last column: nearest neighbours and their distance in Å.
Element x y z (fractional)
Re 0.7500 0.7500 0.7500  4 W 2.81, 4 K 2.81
W 0.5000 0.5000 0.5000  8 Re 2.81
Re 0.2500 0.2500 0.2500  4 W 2.81, 4 K 2.81
K 0.0000 0.0000 0.0000  8 Re 2.81

***

Entry from Alexandria: crystalline KReW at its relaxed geometry (PBE-GGA).

Computed properties:
V, Å³/f.u.: 65
Energy relative to the elements, eV per atom: 2.08
Energy, eV/cell: -20.3
Excess energy over the best structure of this formula in the dataset, eV/f.u.: 3.22

a b c (Å): 4.5069 4.5069 4.5069
angles (deg): 60.00 60.00 60.00
Last column: nearest neighbours and their distance in Å.
Element x y z (fractional)
Re 0.2500 0.2500 0.2500  4 W 2.76, 4 K 2.76
K 0.5000 0.5000 0.5000  4 Re 2.76
W 0.0000 0.0000 0.0000  4 Re 2.76